(1)
Compound: Nd3DyTh2
Source: Alexandria
Functional: PBE
Structure: relaxed

* V: 33.6 Å³ per atom
* final energy: -5.580 eV/atom
* E above lowest polymorph: 0 meV/atom

abc: 10.223 3.631 10.847
angles: 90.00 90.35 90.00
Space group P2_1/m (No. 11)
Unique sites:
Nd  0.124  0.250  0.250
Nd  0.138  0.250  0.916
Nd  0.367  0.750  0.416
Dy  0.375  0.750  0.750
Th  0.121  0.250  0.582
Th  0.385  0.750  0.082

---

(2)
Compound: Nd2Dy3Th
Source: Alexandria
Functional: PBE
Structure: relaxed

* V: 33.6 Å³ per atom
* final energy: -4.999 eV/atom
* E above lowest polymorph: 91 meV/atom

abc: 7.002 16.243 3.545
angles: 90.00 90.00 90.00
Space group Pnnm (No. 58)
Unique sites:
Nd  0.249  0.156  0.000
Dy  0.000  0.000  0.500
Dy  0.245  0.350  0.500
Th  0.000  0.500  0.000

---

(3)
Compound: Nd4Dy3Th2
Source: Alexandria
Functional: PBE
Structure: relaxed

* V: 33.2 Å³ per atom
* final energy: -5.183 eV/atom
* E above lowest polymorph: 38 meV/atom

abc: 16.371 11.884 6.208
angles: 90.00 97.82 90.00
Space group C2/c (No. 15)
Unique sites:
Nd  0.051  0.137  0.017
Nd  0.216  0.369  0.848
Dy  0.000  0.392  0.750
Dy  0.170  0.113  0.581
Th  0.108  0.363  0.310

---

(4)
Compound: NdDy9Th2
Source: Alexandria
Functional: PBE
Structure: relaxed

* V: 32.6 Å³ per atom
* final energy: -4.984 eV/atom
* E above lowest polymorph: 71 meV/atom

abc: 11.3546 11.3546 3.5029
angles: 90.00 90.00 120.00
Space group P6/mmm (No. 191)
Unique sites:
Nd  0.0000  0.0000  0.0000
Dy  0.0000  0.5000  0.0000
Dy  0.1751  0.3503  0.5000
Th  0.3333  0.6667  0.0000

---

(5)
Compound: Nd2DyTh4
Source: Alexandria
Functional: PBE
Structure: relaxed

* V: 33.5 Å³ per atom
* final energy: -6.186 eV/atom

abc: 3.585 36.455 3.588
angles: 90.00 90.00 90.00
Space group Cmmm (No. 65)
Unique sites:
Nd  0.000  0.206  0.000
Dy  0.000  0.500  0.500
Th  0.000  0.070  0.000
Th  0.000  0.363  0.500

---

(6)
Compound: Nd6Dy3Th
Source: Alexandria
Functional: PBE
Structure: relaxed

* V: 35.4 Å³ per atom
* final energy: -4.773 eV/atom
* E above lowest polymorph: 127 meV/atom

abc: 5.067 11.003 12.682
angles: 90.00 90.55 90.00
Space group P2_1/c (No. 14)
Unique sites:
Nd  0.000  0.196  0.004
Nd  0.005  0.008  0.780
Nd  0.495  0.167  0.359
Dy  0.496  0.660  0.870
Dy  0.500  0.000  0.000
Th  0.000  0.000  0.500

---

(7)
Compound: Nd2Dy4Th
Source: Alexandria
Functional: PBE
Structure: relaxed

* V: 32.8 Å³ per atom
* final energy: -5.023 eV/atom
* E above lowest polymorph: 0 meV/atom

abc: 6.265 3.610 20.435
angles: 90.00 96.01 90.00
Space group Cm (No. 8)
Unique sites:
Nd  0.000  0.000  0.000
Nd  0.089  0.000  0.287
Dy  0.280  0.000  0.855
Dy  0.309  0.500  0.432
Dy  0.376  0.000  0.144
Dy  0.401  0.500  0.716
Th  0.182  0.000  0.574

---

(8)
Compound: Nd2Dy4Th5
Source: Alexandria
Functional: PBE
Structure: relaxed

* V: 32.7 Å³ per atom
* final energy: -5.777 eV/atom

abc: 8.838 3.476 11.749
angles: 90.00 94.25 90.00
Space group P2/m (No. 10)
Unique sites:
Nd  0.055  0.000  0.136
Dy  0.160  0.500  0.406
Dy  0.306  0.500  0.945
Th  0.206  0.000  0.675
Th  0.422  0.000  0.214
Th  0.500  0.000  0.500

---

(9)
Compound: NdDy2Th6
Source: Alexandria
Functional: PBE
Structure: relaxed

* V: 34.3 Å³ per atom
* final energy: -6.202 eV/atom

abc: 11.702 7.070 9.249
angles: 90.00 126.20 90.00
Space group C2/m (No. 12)
Unique sites:
Nd  0.000  0.000  0.000
Dy  0.206  0.500  0.122
Th  0.075  0.239  0.352
Th  0.172  0.500  0.702

---

(10)
Compound: NdDy4Th
Source: Alexandria
Functional: PBE
Structure: relaxed

* V: 32.2 Å³ per atom
* final energy: -5.073 eV/atom
* E above lowest polymorph: 0 meV/atom

abc: 3.579 7.195 7.923
angles: 76.84 77.03 89.90
Space group P-1 (No. 2)
Unique sites:
Nd  0.000  0.000  0.000
Dy  0.334  0.173  0.333
Dy  0.336  0.662  0.328
Th  0.000  0.500  0.000

---

(11)
Compound: NdDy2Th2
Source: Alexandria
Functional: PBE
Structure: relaxed

* V: 32.6 Å³ per atom
* final energy: -5.729 eV/atom
* E above lowest polymorph: 18 meV/atom

abc: 3.5788 3.5788 14.6803
angles: 90.00 90.00 120.00
Space group P-3m1 (No. 164)
Unique sites:
Nd  0.0000  0.0000  0.0000
Dy  0.3333  0.6667  0.7990
Th  0.3333  0.6667  0.4013

---

(12)
Compound: Nd2DyTh
Source: Alexandria
Functional: PBE
Structure: relaxed

* V: 33.6 Å³ per atom
* final energy: -5.359 eV/atom
* E above lowest polymorph: 0 meV/atom

abc: 3.6372 3.6372 35.1820
angles: 90.00 90.00 120.00
Space group R3m (No. 160, hexagonal axes)
Unique sites:
Nd  0.0000  0.0000  0.0000
Nd  0.0000  0.0000  0.1687
Dy  0.0000  0.0000  0.7507
Th  0.0000  0.0000  0.5843

---

(13)
Compound: NdDy4Th5
Source: Alexandria
Functional: PBE
Structure: relaxed

* V: 33.3 Å³ per atom
* final energy: -5.818 eV/atom

abc: 22.449 3.536 8.399
angles: 90.00 91.91 90.00
Space group C2/m (No. 12)
Unique sites:
Nd  0.000  0.000  0.000
Dy  0.093  0.500  0.740
Dy  0.179  0.000  0.011
Th  0.000  0.000  0.500
Th  0.115  0.500  0.329
Th  0.236  0.500  0.664

---

(14)
Compound: NdDy6Th2
Source: Alexandria
Functional: PBE
Structure: relaxed

* V: 32.0 Å³ per atom
* final energy: -5.188 eV/atom
* E above lowest polymorph: 0 meV/atom

abc: 9.7437 9.7437 3.4973
angles: 90.00 90.00 120.00
Space group P6/mmm (No. 191)
Unique sites:
Nd  0.0000  0.0000  0.0000
Dy  0.0000  0.3354  0.5000
Th  0.3333  0.6667  0.0000

---

(15)
Compound: Nd2Dy4Th
Source: Alexandria
Functional: PBE
Structure: relaxed

* V: 39.6 Å³ per atom
* final energy: -4.318 eV/atom
* E above lowest polymorph: 705 meV/atom

abc: 5.715 5.715 16.968
angles: 90.00 90.00 90.00
Space group I4/mmm (No. 139)
Unique sites:
Nd  0.000  0.000  0.116
Dy  0.000  0.000  0.320
Dy  0.000  0.500  0.000
Th  0.000  0.000  0.500

---

(16)
Compound: Nd3Dy6TmTh2
Source: Alexandria
Functional: PBE
Structure: relaxed

* V: 32.3 Å³ per atom
* final energy: -5.084 eV/atom

abc: 6.204 10.738 11.821
angles: 90.00 100.08 90.00
Space group C2/m (No. 12)
Unique sites:
Nd  0.000  0.000  0.000
Nd  0.000  0.333  0.000
Dy  0.245  0.000  0.745
Dy  0.250  0.168  0.255
Tm  0.000  0.500  0.500
Th  0.000  0.167  0.500

---

(17)
Compound: Nd3Dy2Tm6Th
Source: Alexandria
Functional: PBE
Structure: relaxed

* V: 31.6 Å³ per atom
* final energy: -4.791 eV/atom

abc: 6.165 10.680 11.703
angles: 90.00 100.15 90.00
Space group C2/m (No. 12)
Unique sites:
Nd  0.000  0.000  0.000
Nd  0.000  0.333  0.000
Dy  0.000  0.167  0.500
Tm  0.247  0.500  0.254
Tm  0.248  0.335  0.747
Th  0.000  0.500  0.500

---

(18)
Compound: NdDy6Tm3Th2
Source: Alexandria
Functional: PBE
Structure: relaxed

* V: 31.6 Å³ per atom
* final energy: -5.017 eV/atom

abc: 6.163 10.661 11.731
angles: 90.00 100.09 90.00
Space group C2/m (No. 12)
Unique sites:
Nd  0.000  0.000  0.000
Dy  0.246  0.500  0.251
Dy  0.247  0.331  0.750
Tm  0.000  0.166  0.500
Tm  0.000  0.500  0.500
Th  0.000  0.333  0.000

---

(19)
Compound: NdDy3Tm6Th2
Source: Alexandria
Functional: PBE
Structure: relaxed

* V: 31.1 Å³ per atom
* final energy: -4.988 eV/atom

abc: 6.143 10.634 11.624
angles: 90.00 100.18 90.00
Space group C2/m (No. 12)
Unique sites:
Nd  0.000  0.000  0.000
Dy  0.000  0.166  0.500
Dy  0.000  0.500  0.500
Tm  0.246  0.500  0.249
Tm  0.247  0.331  0.751
Th  0.000  0.333  0.000

---

(20)
Compound: Nd2Dy4TmTh
Source: Alexandria
Functional: PBE
Structure: relaxed

* V: 32.4 Å³ per atom
* final energy: -4.852 eV/atom

abc: 5.916 5.916 7.415
angles: 90.00 90.00 90.00
Space group P4/mmm (No. 123)
Unique sites:
Nd  0.000  0.000  0.000
Nd  0.500  0.500  0.500
Dy  0.000  0.500  0.249
Tm  0.500  0.500  0.000
Th  0.000  0.000  0.500

---

(21)
Compound: Nd2DyTm4Th
Source: Alexandria
Functional: PBE
Structure: relaxed

* V: 31.8 Å³ per atom
* final energy: -4.898 eV/atom

abc: 5.062 5.077 9.889
angles: 90.00 90.00 90.00
Space group Pmmm (No. 47)
Unique sites:
Nd  0.000  0.000  0.000
Nd  0.500  0.500  0.500
Dy  0.000  0.000  0.500
Tm  0.000  0.500  0.247
Tm  0.500  0.000  0.247
Th  0.500  0.500  0.000

---

(22)
Compound: NdDyTmTh
Source: Alexandria
Functional: PBE
Structure: relaxed

* V: 32.2 Å³ per atom
* final energy: -5.301 eV/atom
* E above lowest polymorph: 0 meV/atom

abc: 3.5914 3.5914 34.5874
angles: 90.00 90.00 120.00
Space group R3m (No. 160, hexagonal axes)
Unique sites:
Nd  0.0000  0.0000  0.0000
Dy  0.0000  0.0000  0.2471
Tm  0.0000  0.0000  0.4190
Th  0.0000  0.0000  0.8328

---

E_form per entry: 44, 128, 119, 101, 74, 210, 29, 136, 297, 26, 34, 30, 209, 58, 734, 18, 22, 36, 32, 127, 33, 15 meV/atom